A relaxed Li4Mg3Au4 crystal. Source: Alexandria, functional GGA-PBE.

Cell: 3.0977 3.7132 16.8909 Å, 83.72 105.24 89.94°
Last column: nearest neighbours and their distance in Å.
Element x y z (fractional)
Li (0.7423, 0.0882, 0.8235)  4 Au 2.71-2.73, 5 Mg 2.86-2.95
Li (0.1758, 0.2726, 0.4548)  5 Au 2.77-2.86, 6 Li 2.79-3.10, 1 Mg 2.84
Li (0.8242, 0.7274, 0.5452)  5 Au 2.77-2.86, 6 Li 2.79-3.10, 1 Mg 2.84
Li (0.2577, 0.9118, 0.1765)  4 Au 2.72-2.73, 5 Mg 2.86-2.95
Mg (0.0897, 0.6397, 0.7204)  5 Au 2.80-2.92, 5 Li 2.84-2.95, 2 Mg 3.10
Mg (0.9103, 0.3603, 0.2796)  5 Au 2.80-2.92, 5 Li 2.84-2.95, 2 Mg 3.10
Mg (0.0000, 0.0000, 0.0000)  2 Li 2.86, 8 Au 2.90-2.91, 2 Mg 3.10
Au (0.3551, 0.5492, 0.9006)  4 Li 2.71-2.73, 5 Mg 2.90-2.92
Au (0.6449, 0.4508, 0.0994)  4 Li 2.72-2.73, 5 Mg 2.90-2.92
Au (0.5420, 0.8162, 0.3684)  6 Li 2.77-3.11, 4 Mg 2.80-2.82, 2 Au 3.10
Au (0.4580, 0.1839, 0.6316)  6 Li 2.77-3.11, 4 Mg 2.80-2.82, 2 Au 3.10

volume: 186.2 Å³/cell
ΔE_f: -0.49 eV/atom
symmetry: C2/m, No. 12
total DFT energy (no corrections): -2.809 eV per atom